Entry 1:
## Zr2NbZn (PBE)

Data for an optimized crystal structure of Zr2NbZn.

Calculated values
For the raw total energy, the calculation gives -7.224 eV/atom.

Lattice parameters (Å, degrees): 3.4979 3.4979 6.4281 90.00 90.00 90.00
Space group P4/mmm (No. 123)
Inequivalent atoms, fractional coordinates:
Zr 0.0000 0.0000 0.2487
Nb 0.5000 0.5000 0.0000
Zn 0.5000 0.5000 0.5000

---

Entry 2:
## ZrNb2Zn (PBE)

Data for an optimized crystal structure of ZrNb2Zn.

Calculated values
For the raw total energy, the calculation gives -7.514 eV/atom.

Lattice parameters (Å, degrees): 4.0290 4.0290 4.5425 90.00 90.00 90.00
Space group P4/mmm (No. 123)
Inequivalent atoms, fractional coordinates:
Zr 0.0000 0.0000 0.0000
Nb 0.0000 0.5000 0.5000
Zn 0.5000 0.5000 0.0000

---

Entry 3:
## Zr2NbZn2 (PBE)

Data for an optimized crystal structure of Zr2NbZn2.

Calculated values
For the raw total energy, the calculation gives -5.758 eV/atom. The energy above the most stable polymorph in this dataset comes out at 243 meV per atom.

Lattice parameters (Å, degrees): 3.4468 3.4468 17.2399 90.00 90.00 90.00
Space group I4/mmm (No. 139)
Inequivalent atoms, fractional coordinates:
Zr 0.0000 0.0000 0.0959
Nb 0.0000 0.0000 0.5000
Zn 0.0000 0.5000 0.2500